Record 1
A relaxed NpGaIrOs crystal, computed with PBE.

Computed properties:
The size of the total moment is 0.757 μB per atom. The calculated total energy is -145.6 eV for the cell shown. The calculation puts the volume at 17.21 Å³ per atom.

CIF file:
```
data_NpGaIrOs
_symmetry_space_group_name_H-M 'F -4 3 m'
_symmetry_Int_Tables_number 216
_symmetry_space_group_name_Hall 'F -4 2 3'
_cell_length_a 6.5060
_cell_length_b 6.5060
_cell_length_c 6.5060
_cell_angle_alpha 90.00
_cell_angle_beta 90.00
_cell_angle_gamma 90.00
loop_
_atom_site_label
_atom_site_type_symbol
_atom_site_fract_x
_atom_site_fract_y
_atom_site_fract_z
_atom_site_occupancy
Np1 Np 0.0000 0.0000 0.0000 1
Ga1 Ga 0.0000 0.0000 0.5000 1
Ir1 Ir 0.2500 0.2500 0.7500 1
Os1 Os 0.2500 0.2500 0.2500 1
```



Record 2
A relaxed Np2GaP3Ir4 crystal, computed with PBE.

Computed properties:
The size of the total moment is 0.702 μB per atom. The calculated total energy is -86.6 eV for the cell shown. The calculation puts the volume at 16.68 Å³ per atom.

CIF file:
```
data_Np2GaP3Ir4
_symmetry_space_group_name_H-M 'P -4 m 2'
_symmetry_Int_Tables_number 115
_cell_length_a 4.0134
_cell_length_b 4.0134
_cell_length_c 10.3555
_cell_angle_alpha 90.00
_cell_angle_beta 90.00
_cell_angle_gamma 90.00
loop_
_symmetry_equiv_pos_as_xyz
'x,y,z'
'y,-x,-z'
'-x,-y,z'
'-y,x,-z'
'-x,y,z'
'-y,-x,-z'
'x,-y,z'
'y,x,-z'
loop_
_atom_site_label
_atom_site_type_symbol
_atom_site_fract_x
_atom_site_fract_y
_atom_site_fract_z
_atom_site_occupancy
Np1 Np 0.0000 0.5000 0.2472 1
Ga1 Ga 0.0000 0.0000 0.5000 1
P1 P 0.0000 0.5000 0.8667 1
P2 P 0.5000 0.5000 0.5000 1
Ir1 Ir 0.0000 0.0000 0.0000 1
Ir2 Ir 0.0000 0.5000 0.6438 1
Ir3 Ir 0.5000 0.5000 0.0000 1
```



Record 3
A relaxed NpPaGaIr crystal, computed with PBE.

Computed properties:
The size of the total moment is 1.506 μB per atom. The calculated total energy is -141.1 eV for the cell shown. The calculation puts the volume at 19.63 Å³ per atom.

CIF file:
```
data_NpPaGaIr
_symmetry_space_group_name_H-M 'F -4 3 m'
_symmetry_Int_Tables_number 216
_symmetry_space_group_name_Hall 'F -4 2 3'
_cell_length_a 6.7970
_cell_length_b 6.7970
_cell_length_c 6.7970
_cell_angle_alpha 90.00
_cell_angle_beta 90.00
_cell_angle_gamma 90.00
loop_
_atom_site_label
_atom_site_type_symbol
_atom_site_fract_x
_atom_site_fract_y
_atom_site_fract_z
_atom_site_occupancy
Np1 Np 0.0000 0.0000 0.0000 1
Pa1 Pa 0.2500 0.2500 0.7500 1
Ga1 Ga 0.2500 0.2500 0.2500 1
Ir1 Ir 0.0000 0.0000 0.5000 1
```



Among the records above, which one has the highest size of the total moment?
NpPaGaIr



size of the total moment of number 2 (Np2GaP3Ir4)?
0.702 μB per atom



What did the third record say?
A relaxed NpPaGaIr crystal, computed with PBE.

Computed properties:
The size of the total moment is 1.506 μB per atom. The calculated total energy is -141.1 eV for the cell shown. The calculation puts the volume at 19.63 Å³ per atom.

CIF file:
```
data_NpPaGaIr
_symmetry_space_group_name_H-M 'F -4 3 m'
_symmetry_Int_Tables_number 216
_symmetry_space_group_name_Hall 'F -4 2 3'
_cell_length_a 6.7970
_cell_length_b 6.7970
_cell_length_c 6.7970
_cell_angle_alpha 90.00
_cell_angle_beta 90.00
_cell_angle_gamma 90.00
loop_
_atom_site_label
_atom_site_type_symbol
_atom_site_fract_x
_atom_site_fract_y
_atom_site_fract_z
_atom_site_occupancy
Np1 Np 0.0000 0.0000 0.0000 1
Pa1 Pa 0.2500 0.2500 0.7500 1
Ga1 Ga 0.2500 0.2500 0.2500 1
Ir1 Ir 0.0000 0.0000 0.5000 1
```



Which value of size of the total moment does entry 3 give?
1.506 μB per atom